MnSi2: optimized geometry, PBE.

The value obtained for the uncorrected formation energy is -0.0391 eV per atom. The crystal system is monoclinic.

abc: 4.488 4.488 6.003
angles: 79.50 79.50 38.08
Fractional coordinates of all 6 atoms:
Si 0.331 0.331 0.316
Si 0.401 0.401 0.743
Si 0.710 0.710 0.021
Mn 0.991 0.991 0.042
Mn 0.689 0.689 0.625
Si 0.044 0.044 0.420